1) The following is a DFT calculation (PBE) of crystalline InRuOF2 at its relaxed geometry.

Cell: 4.322 4.322 4.087 Å, 90.00 90.00 90.00°
Space group P4/mmm (No. 123)
Inequivalent atoms, fractional coordinates:
In: 0.000 0.000 0.000
Ru: 0.500 0.500 0.500
O: 0.000 0.000 0.500
F: 0.000 0.500 0.000

***

2) The following is a DFT calculation (PBE) of crystalline InRuOF2 at its relaxed geometry.

Cell: 4.419 4.419 3.748 Å, 90.00 90.00 90.00°
Space group P4/mmm (No. 123)
Inequivalent atoms, fractional coordinates:
In: 0.000 0.000 0.000
Ru: 0.500 0.500 0.500
O: 0.500 0.500 0.000
F: 0.000 0.500 0.500

***

Relative to the most stable structure, the computed energies are 1) 454; 2) 0, all in meV per atom.

***

1) The following is a DFT calculation (PBE) of crystalline InSbOF2 at its relaxed geometry.

Cell: 4.581 4.581 4.249 Å, 90.00 90.00 90.00°
Space group P4/mmm (No. 123)
Inequivalent atoms, fractional coordinates:
In: 0.000 0.000 0.000
Sb: 0.500 0.500 0.500
O: 0.000 0.000 0.500
F: 0.000 0.500 0.000

***

2) The following is a DFT calculation (PBE) of crystalline InSbOF2 at its relaxed geometry.

Cell: 4.644 4.644 4.278 Å, 90.00 90.00 90.00°
Space group P4/mmm (No. 123)
Inequivalent atoms, fractional coordinates:
In: 0.000 0.000 0.000
Sb: 0.500 0.500 0.500
O: 0.500 0.500 0.000
F: 0.000 0.500 0.500

***

Relative to the most stable structure, the computed energies are 1) 331; 2) 0, all in meV per atom.